TmPaFePd (PBE-GGA, relaxed); space-group type = No. 216; mass density = 11.7 g cm⁻³; total DFT energy (no corrections) = -7.134 eV per atom
1.0
0.000 3.417 3.417
3.417 0.000 3.417
3.417 3.417 0.000
Tm Pa Fe Pd
1 1 1 1
direct
0.000 0.000 0.000 Tm
0.500 0.500 0.500 Pa
0.750 0.750 0.750 Fe
0.250 0.250 0.250 Pd